No. 1
First-principles (meta-GGA SCAN) data for K6HgSe4 at its PBEsol-relaxed geometry, as listed in Alexandria.

The structure belongs to space group P6_3mc (No. 186); the cell edges are 10.3175, 10.3175 and 7.8093 Å and the angles 90.00°, 90.00° and 120.00°. The distinct sites, in fractional coordinates, are K at (0.0519, 0.5260, 0.0000), K at (0.1495, 0.2989, 0.3251), Hg at (0.3333, 0.6667, 0.6247), Se at (0.1893, 0.3787, 0.7281) and Se at (0.3333, 0.6667, 0.2762).

The calculation puts the density of states at the Fermi level at 0.00 states/eV per cell. As for the formation energy (no corrections): -12.90 eV/f.u.

No. 2
First-principles (meta-GGA SCAN) data for CrHgIN2 at its PBEsol-relaxed geometry, as listed in Alexandria.

The structure belongs to space group P4/mmm (No. 123); the cell edges are 4.1285, 4.1285 and 7.1263 Å and the angles 90.00°, 90.00° and 90.00°. The distinct sites, in fractional coordinates, are Cr at (0.0000, 0.0000, 0.0000), Hg at (0.5000, 0.5000, 0.5000), I at (0.5000, 0.5000, 0.0000) and N at (0.0000, 0.5000, 0.5000).

The calculation puts the density of states at the Fermi level at 2.56 states/eV per cell. As for the energy above the most stable polymorph in this dataset: 99.7 kJ/mol of atoms. As for the formation energy (no corrections): 8.39 eV/f.u.

No. 3
First-principles (meta-GGA SCAN) data for LaAl20Cr2 at its PBEsol-relaxed geometry, as listed in Alexandria.

The structure belongs to space group Fd-3m (No. 227, origin choice 2); the cell edges are 14.3953, 14.3953 and 14.3953 Å and the angles 90.00°, 90.00° and 90.00°. The distinct sites, in fractional coordinates, are La at (0.1250, 0.1250, 0.1250), Al at (0.0000, 0.0000, 0.0000), Al at (0.0110, 0.3750, 0.8750), Al at (0.0579, 0.0579, 0.3275) and Cr at (0.0000, 0.0000, 0.5000).

Its energy of formation from the pure elements is -0.192 eV/atom. The calculation puts the density of states at the Fermi level at 73.89 states/eV per cell.

No. 4
First-principles (meta-GGA SCAN) data for MgRhAu2S at its PBEsol-relaxed geometry, as listed in Alexandria.

The structure belongs to space group P4/mmm (No. 123); the cell edges are 4.8768, 4.8768 and 4.7614 Å and the angles 90.00°, 90.00° and 90.00°. The distinct sites, in fractional coordinates, are Mg at (0.0000, 0.0000, 0.0000), Rh at (0.0000, 0.0000, 0.5000), Au at (0.0000, 0.5000, 0.5000) and S at (0.5000, 0.5000, 0.0000).

The calculation puts the density of states at the Fermi level at 4.44 states/eV per cell. As for the formation energy (no corrections): 3.81 eV/f.u.

No. 5
First-principles (meta-GGA SCAN) data for BeOs2 at its PBEsol-relaxed geometry, as listed in Alexandria.

The structure belongs to space group Fd-3m (No. 227, origin choice 2); the cell edges are 7.1154, 7.1154 and 7.1154 Å and the angles 90.00°, 90.00° and 90.00°. The distinct sites, in fractional coordinates, are Be at (0.1250, 0.1250, 0.1250) and Os at (0.0000, 0.0000, 0.5000).

Its energy of formation from the pure elements is 0.912 eV/atom. The calculation puts the density of states at the Fermi level at 24.13 states/eV per cell.

No. 6
First-principles (meta-GGA SCAN) data for Tc2SbAu at its PBEsol-relaxed geometry, as listed in Alexandria.

The structure belongs to space group R3m (No. 160, hexagonal axes); the cell edges are 2.9058, 2.9058 and 28.0196 Å and the angles 90.00°, 90.00° and 120.00°. The distinct sites, in fractional coordinates, are Tc at (0.0000, 0.0000, 0.0000), Tc at (0.0000, 0.0000, 0.2641), Sb at (0.0000, 0.0000, 0.7499) and Au at (0.0000, 0.0000, 0.5139).

The calculation puts the density of states at the Fermi level at 8.65 states/eV per cell. As for the formation energy (no corrections): 1.26 eV/f.u.